Record 1
# LaMoN3 | the Alexandria database | PBE | optimized geometry
data_LaMoN3
_symmetry_space_group_name_H-M 'P 1'
_symmetry_Int_Tables_number 1
_cell_length_a 3.2401
_cell_length_b 6.3819
_cell_length_c 7.0885
_cell_angle_alpha 63.49
_cell_angle_beta 83.14
_cell_angle_gamma 82.88
loop_
_symmetry_equiv_pos_as_xyz
'x,y,z'
loop_
_atom_site_label
_atom_site_fract_x
_atom_site_fract_y
_atom_site_fract_z
La1 0.0000 0.0000 0.0000
La2 0.1811 0.7390 0.5849
Mo1 0.5029 0.4413 0.1342
Mo2 0.9484 0.2757 0.5027
N1 0.0298 0.1686 0.2646
N2 0.5003 0.0241 0.7004
N3 0.5047 0.3346 0.8926
N4 0.5924 0.7756 0.8209
N5 0.7411 0.4002 0.7129
N6 0.9452 0.5840 0.2491
# Raw formation energy, eV/f.u.: -2.308
# Energy, hartree per atom: -0.316
# Calculated volume, Å³ per cell: 129.81

Record 2
# Cs4AuI3 | the Alexandria database | PBE | optimized geometry
data_Cs4AuI3
_symmetry_space_group_name_H-M 'C m m m'
_symmetry_Int_Tables_number 65
_symmetry_space_group_name_Hall '-C 2 2'
_cell_length_a 10.9859
_cell_length_b 15.5007
_cell_length_c 5.4764
_cell_angle_alpha 90.00
_cell_angle_beta 90.00
_cell_angle_gamma 90.00
loop_
_atom_site_label
_atom_site_fract_x
_atom_site_fract_y
_atom_site_fract_z
Cs1 0.0000 0.2456 0.0000
Cs2 0.2425 0.0000 0.5000
Au1 0.0000 0.0000 0.0000
I1 0.0000 0.5000 0.0000
I2 0.2500 0.2500 0.5000
# Raw formation energy, eV/f.u.: -9.923
# Energy, hartree per atom: -0.098
# Calculated volume, Å³ per cell: 932.57

Record 3
# CsRb2HgH | the Alexandria database | PBE | optimized geometry
data_CsRb2HgH
_symmetry_space_group_name_H-M 'P 4/m m m'
_symmetry_Int_Tables_number 123
_symmetry_space_group_name_Hall '-P 4 2'
_cell_length_a 5.8696
_cell_length_b 5.8696
_cell_length_c 6.1964
_cell_angle_alpha 90.00
_cell_angle_beta 90.00
_cell_angle_gamma 90.00
loop_
_atom_site_label
_atom_site_fract_x
_atom_site_fract_y
_atom_site_fract_z
Cs1 0.0000 0.0000 0.0000
Rb1 0.0000 0.5000 0.5000
Hg1 0.5000 0.5000 0.0000
H1 0.0000 0.0000 0.5000
# Energy, hartree per atom: -0.051
# Calculated volume, Å³ per cell: 213.48
# E above lowest polymorph, kJ/mol of formula units: 0.0

Record 4
# Cu3IrBr2F6 | the Alexandria database | PBE | optimized geometry
data_Cu3IrBr2F6
_symmetry_space_group_name_H-M 'C 1 2/m 1'
_symmetry_Int_Tables_number 12
_cell_length_a 12.8189
_cell_length_b 6.1825
_cell_length_c 4.8572
_cell_angle_alpha 90.00
_cell_angle_beta 91.34
_cell_angle_gamma 90.00
loop_
_symmetry_equiv_pos_as_xyz
'x,y,z'
'-x,-y,-z'
'-x,y,-z'
'x,-y,z'
'x+1/2,y+1/2,z'
'-x+1/2,-y+1/2,-z'
'-x+1/2,y+1/2,-z'
'x+1/2,-y+1/2,z'
loop_
_atom_site_label
_atom_site_fract_x
_atom_site_fract_y
_atom_site_fract_z
Cu1 0.0000 0.0000 0.0000
Cu2 0.2500 0.2500 0.5000
Ir1 0.0000 0.5000 0.5000
Br1 0.1876 0.0000 0.1713
F1 0.0577 0.2650 0.7388
F2 0.1398 0.5000 0.3333
# Raw formation energy, eV/f.u.: -12.749
# Energy, hartree per atom: -0.148
# Calculated volume, Å³ per cell: 384.84

Record 5
# RbCdSnAu2 | the Alexandria database | PBE | optimized geometry
data_RbCdSnAu2
_symmetry_space_group_name_H-M 'I -4 m 2'
_symmetry_Int_Tables_number 119
_symmetry_space_group_name_Hall 'I -4 -2'
_cell_length_a 4.8548
_cell_length_b 4.8548
_cell_length_c 11.7263
_cell_angle_alpha 90.00
_cell_angle_beta 90.00
_cell_angle_gamma 90.00
loop_
_atom_site_label
_atom_site_fract_x
_atom_site_fract_y
_atom_site_fract_z
Rb1 0.0000 0.0000 0.0000
Cd1 0.0000 0.5000 0.7500
Sn1 0.0000 0.5000 0.2500
Au1 0.0000 0.0000 0.3790
# Energy of formation, meV/atom: -235
# Energy, hartree per atom: -0.100
# Calculated volume, Å³ per cell: 276.37
# E above lowest polymorph, kJ/mol of formula units: 0.0